DFT (GGA-PBE) results for a relaxed structure of SnBiIO2.

DFT total energy ... -4.15 eV per atom
Raw formation energy ... -0.2815 eV/atom

Cell lengths 4.364, 6.416, 4.364 Å; angles 90.00, 90.00, 90.00 degrees
Fractional positions:
I (0.500, 0.500, 0.500)
Bi (0.000, 0.000, 0.000)
O (0.000, 0.000, 0.500)
O (0.500, 0.000, 0.000)
Sn (0.000, 0.500, 0.000)

---

DFT (GGA-PBE) results for a relaxed structure of SnBiIO2.

DFT total energy ... -4.93 eV per atom
Raw formation energy ... -1.0621 eV/atom

Cell lengths 4.093, 7.769, 7.961 Å; angles 104.30, 90.00, 90.00 degrees
Fractional positions:
Sn (0.250, 0.657, 0.920)
Sn (0.750, 0.343, 0.080)
Bi (0.250, 0.657, 0.406)
Bi (0.750, 0.343, 0.594)
I (0.250, 0.065, 0.743)
I (0.750, 0.935, 0.257)
O (0.750, 0.510, 0.384)
O (0.250, 0.490, 0.616)
O (0.750, 0.499, 0.873)
O (0.250, 0.501, 0.127)

---

DFT (GGA-PBE) results for a relaxed structure of SnBiIO2.

DFT total energy ... -4.04 eV per atom
Raw formation energy ... -0.1709 eV/atom

Cell lengths 4.510, 4.510, 6.212 Å; angles 90.00, 90.00, 90.00 degrees
Fractional positions:
I (0.000, 0.000, 0.500)
Bi (0.000, 0.000, 0.000)
O (0.000, 0.500, 0.000)
O (0.500, 0.000, 0.000)
Sn (0.500, 0.500, 0.500)

---

DFT (GGA-PBE) results for a relaxed structure of SrBiIO2.

DFT total energy ... -5.25 eV per atom
Raw formation energy ... -1.8394 eV/atom

Cell lengths 7.540, 7.540, 5.826 Å; angles 90.00, 90.00, 133.51 degrees
Fractional positions:
Sr (0.907, 0.093, 0.750)
Sr (0.093, 0.907, 0.250)
Bi (0.573, 0.427, 0.750)
Bi (0.427, 0.573, 0.250)
I (0.243, 0.757, 0.750)
I (0.757, 0.243, 0.250)
O (0.268, 0.268, 0.000)
O (0.268, 0.268, 0.500)
O (0.732, 0.732, 0.500)
O (0.732, 0.732, 0.000)

---

DFT (GGA-PBE) results for a relaxed structure of SrBiIO2.

DFT total energy ... -4.32 eV per atom
Raw formation energy ... -0.9108 eV/atom

Cell lengths 4.615, 4.615, 6.057 Å; angles 90.00, 90.00, 90.00 degrees
Fractional positions:
I (0.000, 0.000, 0.500)
Sr (0.500, 0.500, 0.500)
Bi (0.000, 0.000, 0.000)
O (0.000, 0.500, 0.000)
O (0.500, 0.000, 0.000)

---

DFT (GGA-PBE) results for a relaxed structure of SrBi2IO8.

DFT total energy ... -5.32 eV per atom
Raw formation energy ... -1.0995 eV/atom

Cell lengths 5.206, 5.202, 7.067 Å; angles 90.00, 90.00, 88.10 degrees
Fractional positions:
Sr (0.000, 0.000, 0.500)
Bi (0.500, 0.500, 0.750)
Bi (0.500, 0.500, 0.250)
I (0.000, 0.000, 0.000)
O (0.180, 0.818, 0.199)
O (0.742, 0.744, 0.000)
O (0.820, 0.182, 0.199)
O (0.820, 0.182, 0.801)
O (0.258, 0.256, 0.000)
O (0.180, 0.818, 0.801)
O (0.674, 0.676, 0.500)
O (0.326, 0.324, 0.500)

---

DFT (GGA-PBE) results for a relaxed structure of Sr2BiIO3.

DFT total energy ... -5.13 eV per atom
Raw formation energy ... -1.7452 eV/atom

Cell lengths 8.247, 8.247, 8.247 Å; angles 53.14, 53.14, 53.14 degrees
Fractional positions:
Sr (0.000, 0.000, 0.000)
Sr (0.500, 0.000, 0.000)
Sr (0.000, 0.500, 0.000)
Sr (0.000, 0.000, 0.500)
Bi (0.424, 0.424, 0.424)
Bi (0.576, 0.576, 0.576)
I (0.719, 0.719, 0.719)
I (0.281, 0.281, 0.281)
O (0.213, 0.743, 0.743)
O (0.743, 0.213, 0.743)
O (0.743, 0.743, 0.213)
O (0.787, 0.257, 0.257)
O (0.257, 0.787, 0.257)
O (0.257, 0.257, 0.787)

---

DFT (GGA-PBE) results for a relaxed structure of SrBiIO2.

DFT total energy ... -3.76 eV per atom
Raw formation energy ... -0.3534 eV/atom

Cell lengths 4.684, 4.684, 6.234 Å; angles 90.00, 90.00, 90.00 degrees
Fractional positions:
I (0.000, 0.000, 0.500)
Sr (0.000, 0.000, 0.000)
Bi (0.500, 0.500, 0.500)
O (0.000, 0.500, 0.000)
O (0.500, 0.000, 0.000)

---

DFT (GGA-PBE) results for a relaxed structure of TaBiIO2.

DFT total energy ... -6.20 eV per atom
Polymorph energy (0 for the lowest one) ... 0.0000 eV per atom
Raw formation energy ... -0.7584 eV/atom

Cell lengths 4.112, 4.112, 6.283 Å; angles 90.00, 90.00, 90.00 degrees
Fractional positions:
I (0.000, 0.000, 0.500)
Bi (0.500, 0.500, 0.500)
O (0.000, 0.500, 0.000)
O (0.500, 0.000, 0.000)
Ta (0.000, 0.000, 0.000)

---

DFT (GGA-PBE) results for a relaxed structure of TaBiIO2.

DFT total energy ... -4.84 eV per atom
Polymorph energy (0 for the lowest one) ... 1.3610 eV per atom
Raw formation energy ... 0.6026 eV/atom

Cell lengths 4.236, 4.236, 7.278 Å; angles 90.00, 90.00, 90.00 degrees
Fractional positions:
I (0.000, 0.000, 0.500)
Bi (0.000, 0.000, 0.000)
O (0.000, 0.500, 0.000)
O (0.500, 0.000, 0.000)
Ta (0.500, 0.500, 0.500)

---

DFT (GGA-PBE) results for a relaxed structure of TbBi2IO4.

DFT total energy ... -6.15 eV per atom
Raw formation energy ... -1.9257 eV/atom

Cell lengths 3.953, 3.953, 9.755 Å; angles 90.00, 90.00, 90.00 degrees
Fractional positions:
Tb (0.000, 0.000, 0.000)
Bi (0.500, 0.500, 0.256)
Bi (0.500, 0.500, 0.744)
I (0.000, 0.000, 0.500)
O (0.000, 0.500, 0.858)
O (0.500, 0.000, 0.858)
O (0.000, 0.500, 0.142)
O (0.500, 0.000, 0.142)

---

DFT (GGA-PBE) results for a relaxed structure of TbBiIO6.

DFT total energy ... -5.81 eV per atom
Raw formation energy ... -1.3838 eV/atom

Cell lengths 5.698, 5.698, 9.720 Å; angles 90.00, 90.00, 120.00 degrees
Fractional positions:
Tb (0.333, 0.667, 0.250)
Tb (0.667, 0.333, 0.750)
Bi (0.000, 0.000, 0.000)
Bi (0.000, 0.000, 0.500)
I (0.667, 0.333, 0.250)
I (0.333, 0.667, 0.750)
O (0.666, 0.629, 0.135)
O (0.964, 0.334, 0.135)
O (0.334, 0.964, 0.635)
O (0.036, 0.666, 0.865)
O (0.371, 0.334, 0.365)
O (0.964, 0.629, 0.365)
O (0.629, 0.964, 0.865)
O (0.666, 0.036, 0.365)
O (0.036, 0.371, 0.635)
O (0.371, 0.036, 0.135)
O (0.629, 0.666, 0.635)
O (0.334, 0.371, 0.865)

---

DFT (GGA-PBE) results for a relaxed structure of TcBiI2O.

DFT total energy ... -4.58 eV per atom
Polymorph energy (0 for the lowest one) ... 0.0000 eV per atom
Raw formation energy ... -0.1183 eV/atom

Cell lengths 5.747, 5.747, 3.768 Å; angles 90.00, 90.00, 90.00 degrees
Fractional positions:
I (0.000, 0.500, 0.000)
I (0.500, 0.000, 0.000)
Bi (0.500, 0.500, 0.500)
O (0.000, 0.000, 0.500)
Tc (0.000, 0.000, 0.000)

---

DFT (GGA-PBE) results for a relaxed structure of TcBiI2O.

DFT total energy ... -3.84 eV per atom
Polymorph energy (0 for the lowest one) ... 0.7399 eV per atom
Raw formation energy ... 0.6216 eV/atom

Cell lengths 6.272, 6.272, 4.292 Å; angles 90.00, 90.00, 90.00 degrees
Fractional positions:
I (0.000, 0.500, 0.000)
I (0.500, 0.000, 0.000)
Bi (0.000, 0.000, 0.000)
O (0.000, 0.000, 0.500)
Tc (0.500, 0.500, 0.500)

---

DFT (GGA-PBE) results for a relaxed structure of BiTe2IO.

DFT total energy ... -1.89 eV per atom
Polymorph energy (0 for the lowest one) ... 1.3496 eV per atom
Raw formation energy ... 1.4418 eV/atom

Cell lengths 5.715, 5.715, 6.124 Å; angles 90.00, 90.00, 90.00 degrees
Fractional positions:
I (0.000, 0.000, 0.000)
Te (0.000, 0.500, 0.000)
Te (0.500, 0.000, 0.000)
Bi (0.000, 0.000, 0.500)
O (0.500, 0.500, 0.500)

---

DFT (GGA-PBE) results for a relaxed structure of BiTe2IO.

DFT total energy ... -2.45 eV per atom
Polymorph energy (0 for the lowest one) ... 0.7891 eV per atom
Raw formation energy ... 0.8813 eV/atom

Cell lengths 6.081, 6.081, 6.124 Å; angles 90.00, 90.00, 90.00 degrees
Fractional positions:
I (0.000, 0.000, 0.500)
Te (0.000, 0.500, 0.000)
Te (0.500, 0.000, 0.000)
Bi (0.000, 0.000, 0.000)
O (0.500, 0.500, 0.500)

---

DFT (GGA-PBE) results for a relaxed structure of BiTe2IO.

DFT total energy ... -3.24 eV per atom
Polymorph energy (0 for the lowest one) ... 0.0000 eV per atom
Raw formation energy ... 0.0922 eV/atom

Cell lengths 4.604, 4.604, 6.338 Å; angles 90.00, 90.00, 90.00 degrees
Fractional positions:
I (0.000, 0.000, 0.500)
Te (0.000, 0.500, 0.000)
Te (0.500, 0.000, 0.000)
Bi (0.500, 0.500, 0.500)
O (0.000, 0.000, 0.000)

---

DFT (GGA-PBE) results for a relaxed structure of Bi2TeIO.

DFT total energy ... -3.11 eV per atom
Raw formation energy ... 0.3734 eV/atom

Cell lengths 6.143, 4.007, 6.143 Å; angles 90.00, 90.00, 90.00 degrees
Fractional positions:
I (0.000, 0.000, 0.000)
Te (0.500, 0.500, 0.500)
Bi (0.000, 0.000, 0.500)
Bi (0.500, 0.000, 0.000)
O (0.000, 0.500, 0.000)

---

DFT (GGA-PBE) results for a relaxed structure of TiBiIO6.

DFT total energy ... -6.20 eV per atom
Raw formation energy ... -1.4145 eV/atom

Cell lengths 5.402, 5.402, 9.948 Å; angles 90.00, 90.00, 120.00 degrees
Fractional positions:
Ti (0.667, 0.333, 0.250)
Ti (0.333, 0.667, 0.750)
Bi (0.000, 0.000, 0.000)
Bi (0.000, 0.000, 0.500)
I (0.333, 0.667, 0.250)
I (0.667, 0.333, 0.750)
O (0.644, 0.629, 0.140)
O (0.985, 0.356, 0.140)
O (0.356, 0.985, 0.640)
O (0.015, 0.644, 0.860)
O (0.371, 0.356, 0.360)
O (0.985, 0.629, 0.360)
O (0.629, 0.985, 0.860)
O (0.644, 0.015, 0.360)
O (0.015, 0.371, 0.640)
O (0.371, 0.015, 0.140)
O (0.629, 0.644, 0.640)
O (0.356, 0.371, 0.860)

---

DFT (GGA-PBE) results for a relaxed structure of TlBiIO2.

DFT total energy ... -3.96 eV per atom
Polymorph energy (0 for the lowest one) ... 0.0000 eV per atom
Raw formation energy ... -0.4188 eV/atom

Cell lengths 4.486, 4.486, 6.482 Å; angles 90.00, 90.00, 90.00 degrees
Fractional positions:
I (0.000, 0.000, 0.500)
Tl (0.500, 0.500, 0.500)
Bi (0.000, 0.000, 0.000)
O (0.000, 0.500, 0.000)
O (0.500, 0.000, 0.000)

---

DFT (GGA-PBE) results for a relaxed structure of TlBi2IO8.

DFT total energy ... -5.01 eV per atom
Raw formation energy ... -0.7332 eV/atom

Cell lengths 5.092, 5.090, 7.135 Å; angles 90.00, 90.00, 92.05 degrees
Fractional positions:
Tl (0.000, 0.000, 0.500)
Bi (0.500, 0.500, 0.754)
Bi (0.500, 0.500, 0.246)
I (0.000, 0.000, 0.000)
O (0.178, 0.822, 0.200)
O (0.730, 0.731, 0.000)
O (0.822, 0.178, 0.200)
O (0.822, 0.178, 0.800)
O (0.270, 0.269, 0.000)
O (0.178, 0.822, 0.800)
O (0.702, 0.702, 0.500)
O (0.298, 0.298, 0.500)

---

DFT (GGA-PBE) results for a relaxed structure of TlBiIO2.

DFT total energy ... -3.28 eV per atom
Polymorph energy (0 for the lowest one) ... 0.6771 eV per atom
Raw formation energy ... 0.2583 eV/atom

Cell lengths 4.491, 4.491, 5.904 Å; angles 90.00, 90.00, 90.00 degrees
Fractional positions:
I (0.000, 0.000, 0.500)
Tl (0.000, 0.000, 0.000)
Bi (0.500, 0.500, 0.500)
O (0.000, 0.500, 0.000)
O (0.500, 0.000, 0.000)

---

DFT (GGA-PBE) results for a relaxed structure of Tl3BiI2O9.

DFT total energy ... -4.43 eV per atom
Raw formation energy ... -0.5192 eV/atom

Cell lengths 6.061, 6.061, 7.437 Å; angles 90.00, 90.00, 120.00 degrees
Fractional positions:
Tl (0.333, 0.667, 0.685)
Tl (0.000, 0.000, 0.000)
Tl (0.667, 0.333, 0.315)
Bi (0.000, 0.000, 0.500)
I (0.333, 0.667, 0.168)
I (0.667, 0.333, 0.832)
O (0.818, 0.182, 0.686)
O (0.818, 0.636, 0.686)
O (0.364, 0.182, 0.686)
O (0.636, 0.818, 0.314)
O (0.182, 0.364, 0.314)
O (0.182, 0.818, 0.314)
O (0.500, 0.000, 0.000)
O (0.000, 0.500, 0.000)
O (0.500, 0.500, 0.000)

---

DFT (GGA-PBE) results for a relaxed structure of TmBi2IO8.

DFT total energy ... -5.81 eV per atom
Raw formation energy ... -1.3594 eV/atom

Cell lengths 5.234, 5.229, 6.741 Å; angles 90.00, 90.00, 90.20 degrees
Fractional positions:
Tm (0.000, 0.000, 0.500)
Bi (0.500, 0.500, 0.751)
Bi (0.500, 0.500, 0.249)
I (0.000, 0.000, 0.000)
O (0.174, 0.825, 0.219)
O (0.747, 0.748, 0.000)
O (0.826, 0.175, 0.219)
O (0.826, 0.175, 0.781)
O (0.253, 0.252, 0.000)
O (0.174, 0.825, 0.781)
O (0.695, 0.696, 0.500)
O (0.305, 0.304, 0.500)